Entry i
GeIN2F: optimized geometry, PBE-GGA.

a b c (Å): 4.024 4.024 3.919
angles (deg): 90.00 90.00 90.00
Fractional positions:
Ge 0.000 0.000 0.000
I 0.500 0.500 0.500
N 0.000 0.500 0.000
N 0.500 0.000 0.000
F 0.000 0.000 0.500

Values from the calculation:
- M_tot: 0.0 Bohr magnetons per cell

Entry ii
GeIN2F: optimized geometry, PBE-GGA.

a b c (Å): 4.715 4.715 4.356
angles (deg): 90.00 90.00 90.00
Fractional positions:
Ge 0.000 0.000 0.000
I 0.500 0.500 0.000
N 0.000 0.500 0.500
N 0.500 0.000 0.500
F 0.500 0.500 0.500

Values from the calculation:
- M_tot: 4.3 Bohr magnetons per cell

Going by the energies, entry i is most stable and the next is 126.2 kJ/mol of atoms up.

Entry i
GeIN2F: optimized geometry, PBE-GGA.

a b c (Å): 4.193 4.193 4.384
angles (deg): 90.00 90.00 90.00
Fractional positions:
Ge 0.000 0.000 0.000
I 0.500 0.500 0.500
N 0.000 0.500 0.500
N 0.500 0.000 0.500
F 0.500 0.500 0.000

Values from the calculation:
- M_tot: 0.0 Bohr magnetons per cell

Entry ii
GeIN2F: optimized geometry, PBE-GGA.

a b c (Å): 3.656 3.656 7.099
angles (deg): 90.00 90.00 90.00
Fractional positions:
Ge 0.000 0.000 0.000
I 0.000 0.000 0.500
N 0.000 0.500 0.000
N 0.500 0.000 0.000
F 0.500 0.500 0.500

Values from the calculation:
- M_tot: 0.0 Bohr magnetons per cell

Going by the energies, entry ii is most stable and the next is 24.9 kJ/mol of atoms up.

Entry i
GeI2NF: optimized geometry, PBE-GGA.

a b c (Å): 6.041 6.041 3.535
angles (deg): 90.00 90.00 90.00
Fractional positions:
Ge 0.000 0.000 0.000
I 0.000 0.500 0.500
I 0.500 0.000 0.500
N 0.500 0.500 0.000
F 0.500 0.500 0.500

Values from the calculation:
- M_tot: 2.1 Bohr magnetons per cell

Entry ii
GeI2NF: optimized geometry, PBE-GGA.

a b c (Å): 6.064 6.064 3.347
angles (deg): 90.00 90.00 90.00
Fractional positions:
Ge 0.000 0.000 0.000
I 0.000 0.500 0.000
I 0.500 0.000 0.000
N 0.000 0.000 0.500
F 0.500 0.500 0.500

Values from the calculation:
- M_tot: 0.0 Bohr magnetons per cell

Going by the energies, entry ii is most stable and the next is 53.5 kJ/mol of atoms up.

Entry i
GeSbI2F: optimized geometry, PBE-GGA.

a b c (Å): 5.565 5.565 5.499
angles (deg): 90.00 90.00 90.00
Fractional positions:
Ge 0.000 0.000 0.000
Sb 0.000 0.000 0.500
I 0.000 0.500 0.000
I 0.500 0.000 0.000
F 0.500 0.500 0.500

Values from the calculation:
- M_tot: 0.0 Bohr magnetons per cell

Entry ii
GeSbI2F: optimized geometry, PBE-GGA.

a b c (Å): 5.884 5.884 4.233
angles (deg): 90.00 90.00 90.00
Fractional positions:
Ge 0.000 0.000 0.000
Sb 0.500 0.500 0.000
I 0.000 0.500 0.500
I 0.500 0.000 0.500
F 0.500 0.500 0.500

Values from the calculation:
- M_tot: 0.0 Bohr magnetons per cell

Going by the energies, entry ii is most stable and the next is 22.3 kJ/mol of atoms up.